1.
Entry from the Alexandria database: an optimized crystal structure of InPb3W (PBE-GGA).

The structure in POSCAR format:
```
InPb3W
1.0
5.448 0.000 0.000
0.000 5.448 0.000
0.000 0.000 5.448
In Pb W
1 3 1
direct
0.000 0.000 0.000
0.000 0.500 0.500
0.500 0.000 0.500
0.500 0.500 0.000
0.500 0.500 0.500
```

Results
magnetic moment: 0.00 μB/cell
excess energy over the best structure of this formula in the dataset: 0.000 eV/atom
D(E_F): 3.15 states/eV per cell
DFT total energy: -23.8 eV/cell


2.
Entry from the Alexandria database: an optimized crystal structure of InPb2W (PBE-GGA).

The structure in POSCAR format:
```
InPb2W
1.0
5.217 -1.525 0.000
5.217 1.525 0.000
-2.721 0.000 6.973
In Pb W
1 2 1
direct
0.000 0.000 0.000
0.166 0.166 0.639
0.343 0.343 0.355
0.735 0.735 0.996
```

Results
magnetic moment: 0.00 μB/cell
D(E_F): 1.20 states/eV per cell
DFT total energy: -20.7 eV/cell


3.
Entry from the Alexandria database: an optimized crystal structure of InPbW2 (PBE-GGA).

The structure in POSCAR format:
```
InPbW2
1.0
-1.708 2.450 4.835
1.708 -2.450 4.835
1.708 2.450 -4.835
In Pb W
1 1 2
direct
0.000 0.000 0.000
0.279 0.779 0.500
0.540 0.540 0.000
0.738 0.238 0.500
```

Results
magnetic moment: 0.00 μB/cell
excess energy over the best structure of this formula in the dataset: 0.389 eV/atom
D(E_F): 2.98 states/eV per cell
DFT total energy: -28.9 eV/cell


4.
Entry from the Alexandria database: an optimized crystal structure of InPbW3 (PBE-GGA).

The structure in POSCAR format:
```
InPbW3
1.0
4.938 0.000 0.000
0.000 4.938 0.000
0.000 0.000 4.938
In Pb W
1 1 3
direct
0.000 0.000 0.000
0.500 0.500 0.500
0.000 0.000 0.500
0.000 0.500 0.000
0.500 0.000 0.000
```

Results
magnetic moment: 0.00 μB/cell
excess energy over the best structure of this formula in the dataset: 0.000 eV/atom
D(E_F): 5.44 states/eV per cell
DFT total energy: -31.5 eV/cell


Copy entry 4 word for word.
Entry from the Alexandria database: an optimized crystal structure of InPbW3 (PBE-GGA).

The structure in POSCAR format:
```
InPbW3
1.0
4.938 0.000 0.000
0.000 4.938 0.000
0.000 0.000 4.938
In Pb W
1 1 3
direct
0.000 0.000 0.000
0.500 0.500 0.500
0.000 0.000 0.500
0.000 0.500 0.000
0.500 0.000 0.000
```

Results
magnetic moment: 0.00 μB/cell
excess energy over the best structure of this formula in the dataset: 0.000 eV/atom
D(E_F): 5.44 states/eV per cell
DFT total energy: -31.5 eV/cell